Below is crystalline Ho2Al3PdPt4 at its relaxed geometry, with properties calculated at the PBE level.

Geometry as POSCAR:
```
Ho2Al3PdPt4
1.0
4.020 0.000 0.000
0.000 4.020 0.000
0.000 0.000 11.442
Ho Al Pd Pt
2 3 1 4
direct
0.000 0.500 0.238
0.500 0.000 0.762
0.000 0.000 0.000
0.000 0.500 0.628
0.500 0.000 0.372
0.500 0.500 0.000
0.000 0.000 0.500
0.000 0.500 0.840
0.500 0.000 0.160
0.500 0.500 0.500
```

Computed properties:
- total DFT energy (no corrections) (eV/atom) = -6.024
- spin magnetization (μB/f.u.) = 0.0
- SG = P-4m2, No. 115
- formation energy from the elements (eV/atom) = -1.050
- crystal system = tetragonal